Here is PuTlBi after structural relaxation from the Alexandria database. Energies are from GGA-PBE.

Its symmetry is I4/mmm. The value obtained for the density of states at the Fermi level is 13.96 states/eV per cell. The calculation puts the energy of formation from the pure elements at -23 kJ/mol of formula units. For the total energy, the calculation gives -6.939 eV/atom.

a b c (Å): 3.401 3.401 16.002
angles (deg): 96.10 96.10 90.00
Last column: magnetic moment on the atom in μB.
Element x y z (fractional)
Tl1 0.712 0.712 0.425  0.01
Pu1 0.136 0.136 0.273  5.62
Bi1 0.439 0.439 0.879  -0.07
Bi2 0.561 0.561 0.121  -0.07
Pu2 0.864 0.864 0.727  5.62
Tl2 0.288 0.288 0.575  0.01